1.
K2Se8S | GGA-PBE | optimized geometry

Summary:
uncorrected energy	-3.441	eV per atom
uncorrected formation energy	-3.65	eV per formula unit

Cell and atoms, written as CIF:
```
data_K2Se8S
_chemical_formula_sum 'K2 Se8 S1'
_symmetry_space_group_name_H-M 'P 1'
_symmetry_Int_Tables_number 1
_symmetry_space_group_name_Hall 'P 1'
_cell_length_a 6.059
_cell_length_b 7.420
_cell_length_c 9.659
_cell_angle_alpha 112.38
_cell_angle_beta 90.57
_cell_angle_gamma 98.13
loop_
_atom_site_label
_atom_site_fract_x
_atom_site_fract_y
_atom_site_fract_z
K1 0.000 0.000 0.000
K2 0.463 0.915 0.473
Se1 0.419 0.386 0.242
Se2 0.490 0.632 0.767
Se3 0.503 0.975 0.839
Se4 0.549 0.497 0.037
Se5 0.782 0.650 0.594
Se6 0.906 0.355 0.461
Se7 0.933 0.610 0.109
Se8 0.963 0.902 0.327
S1 0.630 0.179 0.259
```



2.
K12Se5S2 | GGA-PBE | optimized geometry

Summary:
Fermi-level density of states	0.00	states/eV per cell
uncorrected energy	-3.049	eV per atom
uncorrected formation energy	-19.09	eV per formula unit

Cell and atoms, written as CIF:
```
data_K12Se5S2
_chemical_formula_sum 'K12 Se5 S2'
_symmetry_space_group_name_H-M 'P 1'
_symmetry_Int_Tables_number 1
_symmetry_space_group_name_Hall 'P 1'
_cell_length_a 9.891
_cell_length_b 9.891
_cell_length_c 11.103
_cell_angle_alpha 106.41
_cell_angle_beta 106.41
_cell_angle_gamma 45.83
loop_
_atom_site_label
_atom_site_fract_x
_atom_site_fract_y
_atom_site_fract_z
K1 0.009 0.009 0.211
K2 0.064 0.577 0.896
K3 0.090 0.599 0.441
K4 0.401 0.910 0.559
K5 0.423 0.936 0.104
K6 0.431 0.431 0.206
K7 0.569 0.569 0.794
K8 0.577 0.064 0.896
K9 0.599 0.090 0.441
K10 0.910 0.401 0.559
K11 0.936 0.423 0.104
K12 0.991 0.991 0.789
Se1 0.171 0.171 0.840
Se2 0.192 0.192 0.344
Se3 0.500 0.500 0.500
Se4 0.808 0.808 0.656
Se5 0.829 0.829 0.160
S1 0.361 0.639 0.000
S2 0.639 0.361 0.000
```



3.
KSeS2 | GGA-PBE | optimized geometry

Summary:
uncorrected energy	-3.624	eV per atom
uncorrected formation energy	-1.66	eV per formula unit

Cell and atoms, written as CIF:
```
data_KSeS2
_chemical_formula_sum 'K2 Se2 S4'
_symmetry_space_group_name_H-M 'P 1'
_symmetry_Int_Tables_number 1
_symmetry_space_group_name_Hall 'P 1'
_cell_length_a 6.321
_cell_length_b 6.327
_cell_length_c 6.953
_cell_angle_alpha 65.45
_cell_angle_beta 64.42
_cell_angle_gamma 76.88
loop_
_atom_site_label
_atom_site_fract_x
_atom_site_fract_y
_atom_site_fract_z
K1 0.166 0.138 0.129
K2 0.834 0.862 0.871
Se1 0.202 0.348 0.573
Se2 0.798 0.652 0.427
S1 0.352 0.598 0.038
S2 0.456 0.842 0.509
S3 0.544 0.158 0.491
S4 0.648 0.402 0.962
```



Copy entry 2 word for word.
K12Se5S2 | GGA-PBE | optimized geometry

Summary:
Fermi-level density of states	0.00	states/eV per cell
uncorrected energy	-3.049	eV per atom
uncorrected formation energy	-19.09	eV per formula unit

Cell and atoms, written as CIF:
```
data_K12Se5S2
_chemical_formula_sum 'K12 Se5 S2'
_symmetry_space_group_name_H-M 'P 1'
_symmetry_Int_Tables_number 1
_symmetry_space_group_name_Hall 'P 1'
_cell_length_a 9.891
_cell_length_b 9.891
_cell_length_c 11.103
_cell_angle_alpha 106.41
_cell_angle_beta 106.41
_cell_angle_gamma 45.83
loop_
_atom_site_label
_atom_site_fract_x
_atom_site_fract_y
_atom_site_fract_z
K1 0.009 0.009 0.211
K2 0.064 0.577 0.896
K3 0.090 0.599 0.441
K4 0.401 0.910 0.559
K5 0.423 0.936 0.104
K6 0.431 0.431 0.206
K7 0.569 0.569 0.794
K8 0.577 0.064 0.896
K9 0.599 0.090 0.441
K10 0.910 0.401 0.559
K11 0.936 0.423 0.104
K12 0.991 0.991 0.789
Se1 0.171 0.171 0.840
Se2 0.192 0.192 0.344
Se3 0.500 0.500 0.500
Se4 0.808 0.808 0.656
Se5 0.829 0.829 0.160
S1 0.361 0.639 0.000
S2 0.639 0.361 0.000
```